(1)
PuZrAgHg (GGA-PBE, relaxed); E = -6.440 eV/atom; symmetry = F-43m (216); energy of formation = 26 kJ/mol of formula units
1.0
0.0000 3.6086 3.6086
3.6086 0.0000 3.6086
3.6086 3.6086 0.0000
Pu Zr Ag Hg
1 1 1 1
Cartesian
0.0000 0.0000 0.0000
3.6086 3.6086 3.6086
1.8043 1.8043 1.8043
5.4130 5.4130 5.4130



(2)
Cs3FeCo (GGA-PBE, relaxed); E = -2.023 eV/atom; symmetry = Pm-3m (221); energy of formation = 773 kJ/mol of formula units
1.0
6.0397 0.0000 0.0000
0.0000 6.0397 0.0000
0.0000 0.0000 6.0397
Cs Fe Co
3 1 1
Cartesian
0.0000 0.0000 3.0198
0.0000 3.0198 0.0000
3.0198 0.0000 0.0000
0.0000 0.0000 0.0000
3.0198 3.0198 3.0198



(3)
TaTc2Se (GGA-PBE, relaxed); E = -8.973 eV/atom; symmetry = Cm (8); uncorrected formation energy = 0.18 eV per formula unit
1.0
4.7783 -1.5296 0.0000
4.7783 1.5296 0.0000
-1.2826 0.0000 4.3466
Ta Tc Se
1 2 1
Cartesian
0.0000 0.0000 0.0000
1.4276 0.0000 2.7760
4.1249 0.0000 2.2134
6.9502 0.0000 0.8611



> E of number 3 (TaTc2Se)?

-8.973 eV/atom